--- a ---
Compound: TaAsW
Source: Alexandria
Functional: GGA-PBE
Structure: optimized geometry

## Properties
Total magnetization, Bohr magnetons per cell: 0.00
Space-group type: F-43m

abc: 4.362 4.362 4.362
angles: 60.00 60.00 60.00
Fractional coordinates of all 3 atoms:
Ta 0.000 0.000 0.000
As 0.500 0.500 0.500
W 0.250 0.250 0.250

***

--- b ---
Compound: TaAsW
Source: Alexandria
Functional: GGA-PBE
Structure: optimized geometry

## Properties
Total magnetization, Bohr magnetons per cell: 0.00
Space-group type: P-6m2

abc: 3.220 3.220 11.496
angles: 90.00 90.00 120.00
Fractional coordinates of all 6 atoms:
Ta 0.000 0.000 0.177
Ta 0.000 0.000 0.823
As 0.667 0.333 0.347
As 0.667 0.333 0.653
W 0.000 0.000 0.500
W 0.667 0.333 0.000

***

Energetically preferred structure: b | next structure: +568 meV/atom

***

--- a ---
Compound: Ta3AsW
Source: Alexandria
Functional: GGA-PBE
Structure: optimized geometry

## Properties
Total magnetization, Bohr magnetons per cell: 0.00
Space-group type: Pm-3m

abc: 4.659 4.659 4.659
angles: 90.00 90.00 90.00
Fractional coordinates of all 5 atoms:
Ta 0.000 0.000 0.500
Ta 0.000 0.500 0.000
Ta 0.500 0.000 0.000
As 0.000 0.000 0.000
W 0.500 0.500 0.500

***

--- b ---
Compound: Ta3AsW
Source: Alexandria
Functional: GGA-PBE
Structure: optimized geometry

## Properties
Total magnetization, Bohr magnetons per cell: 0.00
Space-group type: Pm-3m

abc: 4.883 4.883 4.883
angles: 90.00 90.00 90.00
Fractional coordinates of all 5 atoms:
Ta 0.000 0.000 0.500
Ta 0.000 0.500 0.000
Ta 0.500 0.000 0.000
As 0.500 0.500 0.500
W 0.000 0.000 0.000

***

Energetically preferred structure: a | next structure: +347 meV/atom

***

--- a ---
Compound: TaZnAs3
Source: Alexandria
Functional: GGA-PBE
Structure: optimized geometry

## Properties
Total magnetization, Bohr magnetons per cell: 0.00
Space-group type: Pm-3m

abc: 5.005 5.005 5.005
angles: 90.00 90.00 90.00
Fractional coordinates of all 5 atoms:
Ta 0.000 0.000 0.000
Zn 0.500 0.500 0.500
As 0.000 0.000 0.500
As 0.000 0.500 0.000
As 0.500 0.000 0.000

***

--- b ---
Compound: TaZnAs3
Source: Alexandria
Functional: GGA-PBE
Structure: optimized geometry

## Properties
Total magnetization, Bohr magnetons per cell: 0.00
Space-group type: Pm-3m

abc: 4.699 4.699 4.699
angles: 90.00 90.00 90.00
Fractional coordinates of all 5 atoms:
Ta 0.000 0.000 0.000
Zn 0.500 0.500 0.500
As 0.000 0.500 0.500
As 0.500 0.000 0.500
As 0.500 0.500 0.000

***

Energetically preferred structure: a | next structure: +722 meV/atom

***

--- a ---
Compound: ZrTaAs3
Source: Alexandria
Functional: GGA-PBE
Structure: optimized geometry

## Properties
Total magnetization, Bohr magnetons per cell: 0.00
Space-group type: Pm-3m

abc: 4.938 4.938 4.938
angles: 90.00 90.00 90.00
Fractional coordinates of all 5 atoms:
Zr 0.000 0.000 0.000
Ta 0.500 0.500 0.500
As 0.000 0.500 0.500
As 0.500 0.000 0.500
As 0.500 0.500 0.000

***

--- b ---
Compound: ZrTaAs3
Source: Alexandria
Functional: GGA-PBE
Structure: optimized geometry

## Properties
Total magnetization, Bohr magnetons per cell: 0.00
Space-group type: Pm-3m

abc: 5.042 5.042 5.042
angles: 90.00 90.00 90.00
Fractional coordinates of all 5 atoms:
Zr 0.000 0.000 0.000
Ta 0.500 0.500 0.500
As 0.000 0.000 0.500
As 0.000 0.500 0.000
As 0.500 0.000 0.000

***

Energetically preferred structure: a | next structure: +667 meV/atom

***

--- a ---
Compound: Zr3TaAs
Source: Alexandria
Functional: GGA-PBE
Structure: optimized geometry

## Properties
Total magnetization, Bohr magnetons per cell: 0.00
Space-group type: Pm-3m

abc: 4.949 4.949 4.949
angles: 90.00 90.00 90.00
Fractional coordinates of all 5 atoms:
Zr 0.000 0.000 0.500
Zr 0.000 0.500 0.000
Zr 0.500 0.000 0.000
Ta 0.500 0.500 0.500
As 0.000 0.000 0.000

***

--- b ---
Compound: Zr3TaAs
Source: Alexandria
Functional: GGA-PBE
Structure: optimized geometry

## Properties
Total magnetization, Bohr magnetons per cell: 1.77
Space-group type: Pm-3m

abc: 5.104 5.104 5.104
angles: 90.00 90.00 90.00
Fractional coordinates of all 5 atoms:
Zr 0.000 0.000 0.500
Zr 0.000 0.500 0.000
Zr 0.500 0.000 0.000
Ta 0.000 0.000 0.000
As 0.500 0.500 0.500

***

Energetically preferred structure: a | next structure: +625 meV/atom

***

--- a ---
Compound: TbTlAs2
Source: Alexandria
Functional: GGA-PBE
Structure: optimized geometry

## Properties
Total magnetization, Bohr magnetons per cell: 0.00
Space-group type: P4/mmm

abc: 3.934 3.934 6.495
angles: 90.00 90.00 90.00
Fractional coordinates of all 4 atoms:
Tb 0.000 0.000 0.000
Tl 0.000 0.000 0.500
As 0.500 0.500 0.196
As 0.500 0.500 0.804

***

--- b ---
Compound: TbTlAs2
Source: Alexandria
Functional: GGA-PBE
Structure: optimized geometry

## Properties
Total magnetization, Bohr magnetons per cell: 0.00
Space-group type: R-3m

abc: 7.244 7.244 7.244
angles: 34.10 34.10 34.10
Fractional coordinates of all 4 atoms:
Tb 0.000 0.000 0.000
Tl 0.500 0.500 0.500
As 0.256 0.256 0.256
As 0.744 0.744 0.744

***

Energetically preferred structure: a | next structure: +164 meV/atom